Record 1
! SrZn2Hg, optimized geometry, DFT PBEsol; values from VASP
! Symmetry = R3m
! Energy of formation = -0.257 eV/atom
! Total moment = 0.00 μB/f.u.
! Total energy = -0.1212 Ry per atom
! Density of states at the Fermi level = 2.1 states/eV/f.u.
&SYSTEM
  ibrav = 0, nat = 4, ntyp = 3
/
ATOMIC_SPECIES
Sr 87.62 Sr.upf
Zn 65.41 Zn.upf
Hg 200.59 Hg.upf
CELL_PARAMETERS angstrom
-0.038 3.078 3.210
-0.652 -1.207 4.231
5.205 0.002 3.141
ATOMIC_POSITIONS crystal
Sr 0.255 0.255 0.234
Zn 0.053 0.053 0.842
Zn 0.730 0.730 0.809
Hg 0.461 0.461 0.616

---

Record 2
! Sr2ZnHg, optimized geometry, DFT PBEsol; values from VASP
! Symmetry = P4/mmm
! Energy of formation = -0.361 eV/atom
! Total moment = 0.00 μB/f.u.
! Total energy = -0.1336 Ry per atom
! Density of states at the Fermi level = 2.4 states/eV/f.u.
&SYSTEM
  ibrav = 0, nat = 4, ntyp = 3
/
ATOMIC_SPECIES
Sr 87.62 Sr.upf
Zn 65.41 Zn.upf
Hg 200.59 Hg.upf
CELL_PARAMETERS angstrom
-2.489 -2.576 1.483
4.130 -3.495 0.861
0.765 2.133 4.988
ATOMIC_POSITIONS crystal
Sr 0.000 0.000 0.500
Sr 0.000 0.500 0.000
Zn 0.500 0.500 0.500
Hg 0.500 0.000 0.000

---

Record 3
! SrZn2Hg, optimized geometry, DFT PBEsol; values from VASP
! Symmetry = Imm2
! Energy of formation = -0.168 eV/atom
! Total moment = 0.00 μB/f.u.
! Total energy = -0.1147 Ry per atom
! Density of states at the Fermi level = 1.6 states/eV/f.u.
&SYSTEM
  ibrav = 0, nat = 4, ntyp = 3
/
ATOMIC_SPECIES
Hg 200.59 Hg.upf
Sr 87.62 Sr.upf
Zn 65.41 Zn.upf
CELL_PARAMETERS angstrom
4.365 0.000 0.000
0.000 5.338 0.000
-2.183 -2.669 3.902
ATOMIC_POSITIONS crystal
Hg 0.467 0.467 0.934
Sr 0.258 0.758 0.515
Zn 0.050 0.050 0.099
Zn 0.726 0.226 0.451

---

Record 4
! TaHg3, optimized geometry, DFT PBEsol; values from VASP
! Symmetry = Pmmm
! Energy of formation = 0.380 eV/atom
! Total moment = 0.00 μB/f.u.
! Total energy = -0.2340 Ry per atom
! Density of states at the Fermi level = 3.0 states/eV/f.u.
&SYSTEM
  ibrav = 0, nat = 4, ntyp = 2
/
ATOMIC_SPECIES
Hg 200.59 Hg.upf
Ta 180.95 Ta.upf
CELL_PARAMETERS angstrom
-1.784 2.362 -0.377
-1.999 -0.920 3.690
4.041 3.542 3.072
ATOMIC_POSITIONS crystal
Hg 0.000 0.000 0.765
Hg 0.000 0.000 0.235
Hg 0.500 0.500 0.500
Ta 0.500 0.500 0.000

---

Which of these has the highest total energy? number 3